Density functional theory data (GGA-PBE) for an optimized crystal structure of ThHF.

a b c (Å): 3.554 3.554 6.796
angles (deg): 90.00 90.00 90.00
Fractional positions:
Th: 0.000 0.000 0.000
Th: 0.500 0.500 0.500
H: 0.000 0.000 0.335
H: 0.500 0.500 0.835
F: 0.000 0.000 0.644
F: 0.500 0.500 0.144

Computed properties:
Excess energy over the best structure of this formula in the dataset = 0.66 eV per formula unit
Symmetry = I4mm, No. 107

Density functional theory data (GGA-PBE) for an optimized crystal structure of RbScAlTe4.

a b c (Å): 7.425 6.569 10.347
angles (deg): 90.00 107.83 90.00
Fractional positions:
Rb: 0.233 0.250 0.049
Rb: 0.767 0.750 0.951
Sc: 0.256 0.250 0.553
Sc: 0.744 0.750 0.447
Al: 0.260 0.750 0.338
Al: 0.740 0.250 0.662
Te: 0.026 0.510 0.695
Te: 0.026 0.990 0.695
Te: 0.451 0.750 0.171
Te: 0.454 0.750 0.591
Te: 0.546 0.250 0.409
Te: 0.549 0.250 0.829
Te: 0.974 0.010 0.305
Te: 0.974 0.490 0.305

Computed properties:
Formation energy from raw total energies = -0.7898 eV per atom
Symmetry = P2_1/m, No. 11

Density functional theory data (GGA-PBE) for an optimized crystal structure of Dy6AlRh2.

a b c (Å): 8.426 8.426 8.426
angles (deg): 112.80 111.44 104.30
Fractional positions:
Dy: 0.043 0.239 0.804
Dy: 0.180 0.286 0.466
Dy: 0.180 0.714 0.894
Dy: 0.329 0.024 0.694
Dy: 0.329 0.635 0.306
Dy: 0.435 0.239 0.196
Dy: 0.565 0.761 0.804
Dy: 0.671 0.365 0.694
Dy: 0.671 0.976 0.306
Dy: 0.820 0.286 0.106
Dy: 0.820 0.714 0.534
Dy: 0.957 0.761 0.196
Al: 0.000 0.000 0.000
Al: 0.500 0.500 0.000
Rh: 0.133 0.633 0.500
Rh: 0.326 0.000 0.326
Rh: 0.674 0.000 0.674
Rh: 0.867 0.367 0.500

Computed properties:
Symmetry = Immm, No. 71

Density functional theory data (GGA-PBE) for an optimized crystal structure of Ba2NaRuO6.

a b c (Å): 10.575 10.575 10.575
angles (deg): 32.27 32.27 32.27
Fractional positions:
Ba: 0.130 0.130 0.130
Ba: 0.287 0.287 0.287
Ba: 0.713 0.713 0.713
Ba: 0.870 0.870 0.870
Na: 0.408 0.408 0.408
Na: 0.592 0.592 0.592
Ru: 0.000 0.000 0.000
Ru: 0.500 0.500 0.500
O: 0.151 0.620 0.620
O: 0.189 0.189 0.732
O: 0.189 0.732 0.189
O: 0.268 0.811 0.811
O: 0.380 0.380 0.849
O: 0.380 0.849 0.380
O: 0.620 0.151 0.620
O: 0.620 0.620 0.151
O: 0.732 0.189 0.189
O: 0.811 0.268 0.811
O: 0.811 0.811 0.268
O: 0.849 0.380 0.380

Computed properties:
Formation energy from raw total energies = -1.7398 eV per atom
Symmetry = R-3m, No. 166

Density functional theory data (GGA-PBE) for an optimized crystal structure of CdHg2Br.

a b c (Å): 5.359 5.359 7.823
angles (deg): 90.00 90.00 90.00
Fractional positions:
Cd: 0.000 0.000 0.000
Cd: 0.500 0.500 0.500
Hg: 0.000 0.000 0.500
Hg: 0.000 0.500 0.750
Hg: 0.500 0.000 0.250
Hg: 0.500 0.500 0.000
Br: 0.000 0.500 0.250
Br: 0.500 0.000 0.750

Computed properties:
Formation energy from raw total energies = -0.0341 eV per atom
Excess energy over the best structure of this formula in the dataset = 0.65 eV per formula unit
Symmetry = I-4m2, No. 119

Density functional theory data (GGA-PBE) for an optimized crystal structure of NaSrTlCr2.

a b c (Å): 5.977 5.977 6.319
angles (deg): 90.00 90.00 90.00
Fractional positions:
Na: 0.000 0.000 0.000
Sr: 0.000 0.000 0.500
Tl: 0.500 0.500 0.000
Cr: 0.000 0.500 0.500
Cr: 0.500 0.000 0.500

Computed properties:
Symmetry = P4/mmm, No. 123

Density functional theory data (GGA-PBE) for an optimized crystal structure of KIn3I9.

a b c (Å): 11.770 11.770 16.039
angles (deg): 123.42 123.42 57.75
Fractional positions:
K: 0.018 0.982 0.500
K: 0.982 0.018 0.000
In: 0.192 0.443 0.167
In: 0.324 0.696 0.745
In: 0.443 0.192 0.667
In: 0.525 0.819 0.276
In: 0.696 0.324 0.245
In: 0.819 0.525 0.776
I: 0.069 0.418 0.944
I: 0.083 0.330 0.211
I: 0.162 0.969 0.837
I: 0.182 0.728 0.292
I: 0.247 0.499 0.737
I: 0.283 0.642 0.544
I: 0.317 0.736 0.073
I: 0.330 0.083 0.711
I: 0.418 0.069 0.444
I: 0.499 0.247 0.237
I: 0.615 0.658 0.886
I: 0.642 0.283 0.044
I: 0.658 0.615 0.386
I: 0.728 0.182 0.792
I: 0.736 0.317 0.573
I: 0.758 0.811 0.266
I: 0.811 0.758 0.766
I: 0.969 0.162 0.337

Computed properties:
Formation energy from raw total energies = -0.5883 eV per atom
Symmetry = Cc, No. 9

It is found that the electronic total energy values, taken in the order of the records, are -33.92; -58.27; -102.14; -123.17; -6.66; -17.00; -61.82 eV/cell.
It is found that the DOS(E_F) values, taken in the order of the records, are 0.33; 0.24; 0.75; 0.44; 1.06; 0.74; 0.50 states/eV/atom.